Entry 1:
Density functional theory data (PBE-GGA) for CdIn4Ag after structural relaxation.

a = 7.7039 Å, b = 7.7039 Å, c = 7.7039 Å
α = 124.42°, β = 124.42°, γ = 82.50°
Element x y z (fractional)
Cd  0.0000  0.0000  0.0000
Cd  0.5000  0.5000  0.0000
In  0.0138  0.5138  0.8027
In  0.2112  0.0138  0.5000
In  0.2888  0.7888  0.8027
In  0.4862  0.2888  0.5000
In  0.5138  0.7112  0.5000
In  0.7112  0.2112  0.1973
In  0.7888  0.9862  0.5000
In  0.9862  0.4862  0.1973
Ag  0.2500  0.2500  0.0000
Ag  0.7500  0.7500  0.0000

Computed properties:
crystal system = tetragonal
energy of formation from the pure elements = 2 meV/atom
energy above the lowest structure with this stoichiometry = 0 meV per atom

Entry 2:
Density functional theory data (PBE-GGA) for CeSiB after structural relaxation.

a = 3.8975 Å, b = 3.8975 Å, c = 12.8240 Å
α = 90.00°, β = 90.00°, γ = 90.00°
Element x y z (fractional)
Ce  0.0000  0.0000  0.0000
Ce  0.0000  0.5000  0.2500
Ce  0.5000  0.0000  0.7500
Ce  0.5000  0.5000  0.5000
Si  0.0000  0.5000  0.6571
Si  0.0000  0.5000  0.8429
Si  0.5000  0.0000  0.1571
Si  0.5000  0.0000  0.3429
B  0.0000  0.0000  0.4313
B  0.0000  0.0000  0.5687
B  0.5000  0.5000  0.0687
B  0.5000  0.5000  0.9313

Computed properties:
crystal system = tetragonal
E_form (uncorrected) = -0.458 eV per atom
energy above the lowest structure with this stoichiometry = 165 meV per atom

Entry 3:
Density functional theory data (PBE-GGA) for MgPtSCl2 after structural relaxation.

a = 4.8165 Å, b = 4.8165 Å, c = 4.8706 Å
α = 90.00°, β = 90.00°, γ = 90.00°
Element x y z (fractional)
Mg  0.0000  0.0000  0.0000
Pt  0.5000  0.5000  0.5000
S  0.5000  0.5000  0.0000
Cl  0.0000  0.5000  0.5000
Cl  0.5000  0.0000  0.5000

Computed properties:
crystal system = tetragonal
E_form (uncorrected) = -0.213 eV per atom
energy above the lowest structure with this stoichiometry = 0 meV per atom

Entry 4:
Density functional theory data (PBE-GGA) for ZnGeI4 after structural relaxation.

a = 10.1214 Å, b = 10.1214 Å, c = 7.4066 Å
α = 103.36°, β = 103.36°, γ = 131.38°
Element x y z (fractional)
Zn  0.1810  0.8190  0.7500
Zn  0.8190  0.1810  0.2500
Ge  0.3182  0.6818  0.2500
Ge  0.6818  0.3182  0.7500
I  0.0720  0.4702  0.7547
I  0.1496  0.3097  0.2336
I  0.3097  0.1496  0.7336
I  0.4702  0.0720  0.2547
I  0.5298  0.9280  0.7453
I  0.6903  0.8504  0.2664
I  0.8504  0.6903  0.7664
I  0.9280  0.5298  0.2453

Computed properties:
crystal system = monoclinic
E_form (uncorrected) = -0.347 eV per atom

Entry 5:
Density functional theory data (PBE-GGA) for Li2MgHg after structural relaxation.

a = 6.6856 Å, b = 6.6856 Å, c = 6.6856 Å
α = 90.00°, β = 90.00°, γ = 90.00°
Element x y z (fractional)
Li  0.0000  0.0000  0.0000
Li  0.0000  0.5000  0.5000
Li  0.2500  0.2500  0.2500
Li  0.2500  0.7500  0.7500
Li  0.5000  0.0000  0.5000
Li  0.5000  0.5000  0.0000
Li  0.7500  0.2500  0.7500
Li  0.7500  0.7500  0.2500
Mg  0.2500  0.2500  0.7500
Mg  0.2500  0.7500  0.2500
Mg  0.7500  0.2500  0.2500
Mg  0.7500  0.7500  0.7500
Hg  0.0000  0.0000  0.5000
Hg  0.0000  0.5000  0.0000
Hg  0.5000  0.0000  0.0000
Hg  0.5000  0.5000  0.5000

Computed properties:
crystal system = cubic
energy of formation from the pure elements = -273 meV/atom
energy above the lowest structure with this stoichiometry = 1 meV per atom

Entry 6:
Density functional theory data (PBE-GGA) for TbY3Sc2Se6 after structural relaxation.

a = 6.9634 Å, b = 6.9634 Å, c = 6.9766 Å
α = 99.55°, β = 99.55°, γ = 120.19°
Element x y z (fractional)
Tb  0.0000  0.0000  0.0000
Y  0.1601  0.8399  0.5000
Y  0.5000  0.5000  0.5000
Y  0.8399  0.1601  0.5000
Sc  0.3350  0.6650  0.0000
Sc  0.6650  0.3350  0.0000
Se  0.0799  0.4246  0.2411
Se  0.2654  0.2654  0.7639
Se  0.4246  0.0799  0.2411
Se  0.5754  0.9201  0.7589
Se  0.7346  0.7346  0.2361
Se  0.9201  0.5754  0.7589

Computed properties:
crystal system = monoclinic
E_form (uncorrected) = -1.702 eV per atom

Entry 7:
Density functional theory data (PBE-GGA) for CeIrRhO6 after structural relaxation.

a = 5.3614 Å, b = 5.3614 Å, c = 8.7384 Å
α = 90.00°, β = 90.00°, γ = 120.00°
Element x y z (fractional)
Ce  0.3333  0.6667  0.2500
Ce  0.6667  0.3333  0.7500
Ir  0.3333  0.6667  0.7500
Ir  0.6667  0.3333  0.2500
Rh  0.0000  0.0000  0.0000
Rh  0.0000  0.0000  0.5000
O  0.0329  0.3470  0.6199
O  0.0329  0.6859  0.8801
O  0.3141  0.3470  0.8801
O  0.3141  0.9671  0.6199
O  0.3470  0.0329  0.1199
O  0.3470  0.3141  0.3801
O  0.6530  0.6859  0.6199
O  0.6530  0.9671  0.8801
O  0.6859  0.0329  0.3801
O  0.6859  0.6530  0.1199
O  0.9671  0.3141  0.1199
O  0.9671  0.6530  0.3801

Computed properties:
crystal system = trigonal
E_form (uncorrected) = -1.447 eV per atom

Entry 8:
Density functional theory data (PBE-GGA) for VP3Pb after structural relaxation.

a = 4.6473 Å, b = 4.6473 Å, c = 4.6473 Å
α = 90.00°, β = 90.00°, γ = 90.00°
Element x y z (fractional)
V  0.0000  0.0000  0.0000
P  0.0000  0.0000  0.5000
P  0.0000  0.5000  0.0000
P  0.5000  0.0000  0.0000
Pb  0.5000  0.5000  0.5000

Computed properties:
crystal system = cubic
energy of formation from the pure elements = 174 meV/atom
energy above the lowest structure with this stoichiometry = 0 meV per atom

Entry 9:
Density functional theory data (PBE-GGA) for AlAuS2 after structural relaxation.

a = 3.9106 Å, b = 29.0481 Å, c = 3.5405 Å
α = 90.00°, β = 90.00°, γ = 90.00°
Element x y z (fractional)
Al  0.0000  0.1084  0.2500
Al  0.0000  0.8916  0.7500
Al  0.5000  0.3916  0.7500
Al  0.5000  0.6084  0.2500
Au  0.0000  0.3200  0.2500
Au  0.0000  0.6800  0.7500
Au  0.5000  0.1800  0.7500
Au  0.5000  0.8200  0.2500
S  0.0000  0.0642  0.7500
S  0.0000  0.1848  0.2500
S  0.0000  0.8152  0.7500
S  0.0000  0.9358  0.2500
S  0.5000  0.3152  0.7500
S  0.5000  0.4358  0.2500
S  0.5000  0.5642  0.7500
S  0.5000  0.6848  0.2500

Computed properties:
crystal system = orthorhombic
E_form (uncorrected) = -0.331 eV per atom

Entry 10:
Density functional theory data (PBE-GGA) for Y4BeI5 after structural relaxation.

a = 9.8059 Å, b = 9.8059 Å, c = 8.8525 Å
α = 102.36°, β = 102.36°, γ = 23.98°
Element x y z (fractional)
Y  0.0005  0.0005  0.2914
Y  0.3585  0.3585  0.4270
Y  0.6415  0.6415  0.5730
Y  0.9995  0.9995  0.7086
Be  0.5000  0.5000  0.5000
I  0.1664  0.1664  0.8424
I  0.1743  0.1743  0.3282
I  0.5000  0.5000  0.0000
I  0.8257  0.8257  0.6718
I  0.8336  0.8336  0.1576

Computed properties:
crystal system = monoclinic
E_form (uncorrected) = -0.974 eV per atom

Entry 11:
Density functional theory data (PBE-GGA) for Tm2Zn3Sn after structural relaxation.

a = 9.0534 Å, b = 8.5905 Å, c = 5.7394 Å
α = 75.45°, β = 66.70°, γ = 37.85°
Element x y z (fractional)
Tm  0.2430  0.7570  0.7570
Tm  0.2500  0.2500  0.2500
Tm  0.7500  0.7500  0.7500
Tm  0.7570  0.2430  0.2430
Zn  0.1609  0.1609  0.8391
Zn  0.1629  0.6775  0.3225
Zn  0.3225  0.8371  0.1629
Zn  0.6775  0.1629  0.8371
Zn  0.8371  0.3225  0.6775
Zn  0.8391  0.8391  0.1609
Sn  0.3343  0.3343  0.6657
Sn  0.6657  0.6657  0.3343

Computed properties:
crystal system = orthorhombic
energy of formation from the pure elements = -455 meV/atom

Entry 12:
Density functional theory data (PBE-GGA) for BeS after structural relaxation.

a = 6.6216 Å, b = 6.6216 Å, c = 6.6216 Å
α = 90.00°, β = 90.00°, γ = 90.00°
Element x y z (fractional)
Be  0.1493  0.1493  0.1493
Be  0.1493  0.8507  0.8507
Be  0.3507  0.3507  0.6493
Be  0.3507  0.6493  0.3507
Be  0.6493  0.3507  0.3507
Be  0.6493  0.6493  0.6493
Be  0.8507  0.1493  0.8507
Be  0.8507  0.8507  0.1493
S  0.1714  0.1714  0.8286
S  0.1714  0.8286  0.1714
S  0.3286  0.3286  0.3286
S  0.3286  0.6714  0.6714
S  0.6714  0.3286  0.6714
S  0.6714  0.6714  0.3286
S  0.8286  0.1714  0.1714
S  0.8286  0.8286  0.8286

Computed properties:
crystal system = cubic
E_form (uncorrected) = -0.893 eV per atom
energy above the lowest structure with this stoichiometry = 175 meV per atom

Number 1: size of the total moment 0.00 Bohr magnetons per cell. Number 2: size of the total moment 1.22 Bohr magnetons per cell. Number 3: size of the total moment 0.00 Bohr magnetons per cell. Number 4: size of the total moment 0.00 Bohr magnetons per cell. Number 5: size of the total moment 0.00 Bohr magnetons per cell. Number 6: size of the total moment 0.00 Bohr magnetons per cell. Number 7: size of the total moment 2.30 Bohr magnetons per cell. Number 8: size of the total moment 0.00 Bohr magnetons per cell. Number 9: size of the total moment 0.00 Bohr magnetons per cell. Number 10: size of the total moment 0.00 Bohr magnetons per cell. Number 11: size of the total moment 0.00 Bohr magnetons per cell. Number 12: size of the total moment 0.00 Bohr magnetons per cell.